# 1
This record from Alexandria via LeMat-Bulk describes crystalline GaPdPt at its relaxed geometry. The functional is PBE.

a b c (Å): 5.6479 4.0916 7.8926
angles (deg): 90.00 90.00 90.00
Last column: nearest neighbours and their distance in Å.
Space group Pnma (No. 62)
Inequivalent atoms, fractional coordinates:
Ga  0.2095  0.2500  0.1107  4 Pt 2.56-2.59, 3 Pd 2.60-2.66
Pd  0.0424  0.2500  0.7958  5 Ga 2.60-2.88, 2 Pt 2.85
Pt  0.1635  0.2500  0.4338  4 Ga 2.56-2.59, 2 Pd 2.85

## Properties
Calculated formation energy (eV/f.u.): -1.86
Total magnetization (μB per formula unit): 0.00
ΔE to the lowest computed polymorph (meV per atom): 0.0
DOS at the Fermi energy (states/eV per cell): 4.781

# 2
This record from Alexandria via LeMat-Bulk describes crystalline Na2TmSn9 at its relaxed geometry. The functional is PBE.

a b c (Å): 4.6682 4.6682 14.4959
angles (deg): 90.00 90.00 90.00
Last column: nearest neighbours and their distance in Å.
Space group P4/mmm (No. 123)
Inequivalent atoms, fractional coordinates:
Na  0.0000  0.0000  0.1691  12 Sn 3.30-3.38
Tm  0.0000  0.0000  0.5000  12 Sn 3.30-3.34
Sn  0.0000  0.5000  0.0000  8 Sn 3.30-3.34, 4 Na 3.38
Sn  0.0000  0.5000  0.3350  8 Sn 3.30-3.39, 2 Tm 3.34, 2 Na 3.35
Sn  0.5000  0.5000  0.1649  4 Na 3.30, 8 Sn 3.34-3.39
Sn  0.5000  0.5000  0.5000  4 Tm 3.30, 8 Sn 3.34

## Properties
Calculated formation energy (eV/f.u.): -2.36
Total magnetization (μB per formula unit): 0.00
DOS at the Fermi energy (states/eV per cell): 5.473

# 3
This record from Alexandria via LeMat-Bulk describes crystalline CaCoRe2 at its relaxed geometry. The functional is PBE.

a b c (Å): 6.3080 6.3080 6.3080
angles (deg): 90.00 90.00 90.00
Last column: nearest neighbours and their distance in Å.
Space group F-43m (No. 216)
Inequivalent atoms, fractional coordinates:
Ca  0.0000  0.0000  0.0000  4 Re 2.73, 4 Co 2.73
Co  0.2500  0.2500  0.7500  4 Re 2.73, 4 Ca 2.73
Re  0.0000  0.0000  0.5000  4 Co 2.73, 4 Re 2.73
Re  0.2500  0.2500  0.2500  4 Re 2.73, 4 Ca 2.73

## Properties
Calculated formation energy (eV/f.u.): 2.16
Total magnetization (μB per formula unit): 1.26
ΔE to the lowest computed polymorph (meV per atom): 198.5
DOS at the Fermi energy (states/eV per cell): 8.400

# 4
This record from Alexandria via LeMat-Bulk describes crystalline BaBeAs2 at its relaxed geometry. The functional is PBE.

a b c (Å): 3.6065 3.6065 6.8000
angles (deg): 90.00 90.00 90.00
Last column: nearest neighbours and their distance in Å.
Space group P4/mmm (No. 123)
Inequivalent atoms, fractional coordinates:
Ba  0.0000  0.0000  0.0000  8 As 3.37, 2 Be 3.40, 4 Ba 3.61
Be  0.0000  0.0000  0.5000  8 As 2.82
As  0.5000  0.5000  0.3236  1 As 2.40

## Properties
Calculated formation energy (eV/f.u.): -0.07
Total magnetization (μB per formula unit): 0.00
DOS at the Fermi energy (states/eV per cell): 1.886

# 5
This record from Alexandria via LeMat-Bulk describes crystalline Cs2UTeS5 at its relaxed geometry. The functional is PBE.

a b c (Å): 4.0561 22.3240 13.5175
angles (deg): 90.00 90.00 90.00
Last column: nearest neighbours and their distance in Å.
Space group Cmc2_1 (No. 36)
Inequivalent atoms, fractional coordinates:
Cs  0.0000  0.1281  0.0000  7 S 3.53-3.70
Cs  0.0000  0.1285  0.4062  7 S 3.53-3.68
U  0.0000  0.2219  0.7028  6 S 2.45-2.63
Te  0.0000  0.4821  0.1691  1 S 2.31
S  0.0000  0.1074  0.7039  1 U 2.56
S  0.0000  0.2821  0.3260  2 U 2.63
S  0.0000  0.2827  0.0798  2 U 2.62
S  0.0000  0.3315  0.7026  1 U 2.45
S  0.0000  0.4931  0.9990  1 Te 2.31

## Properties
Total magnetization (μB per formula unit): 0.25
Formation energy without anion corrections (meV per atom): -901.4
DOS at the Fermi energy (states/eV per cell): 20.977

# 6
This record from Alexandria via LeMat-Bulk describes crystalline Sc2FeCoI at its relaxed geometry. The functional is PBE.

a b c (Å): 4.9085 4.9085 4.4560
angles (deg): 90.00 90.00 90.00
Last column: nearest neighbours and their distance in Å.
Space group P4/mmm (No. 123)
Inequivalent atoms, fractional coordinates:
Sc  0.0000  0.5000  0.0000  2 Co 2.45
Fe  0.0000  0.0000  0.5000  2 Co 2.23
Co  0.0000  0.0000  0.0000  2 Fe 2.23, 4 Sc 2.45
I  0.5000  0.5000  0.5000  8 Sc 3.31, 4 Fe 3.47

## Properties
Total magnetization (μB per formula unit): 2.71
Formation energy without anion corrections (meV per atom): 117.7
DOS at the Fermi energy (states/eV per cell): 4.813

# 7
This record from Alexandria via LeMat-Bulk describes crystalline LiCoHRh2 at its relaxed geometry. The functional is PBE.

a b c (Å): 3.8910 3.8910 3.5255
angles (deg): 90.00 90.00 90.00
Last column: nearest neighbours and their distance in Å.
Space group P4/mmm (No. 123)
Inequivalent atoms, fractional coordinates:
Li  0.0000  0.0000  0.0000  8 Rh 2.63, 4 Co 2.75
Co  0.5000  0.5000  0.0000  2 H 1.76
H  0.5000  0.5000  0.5000  2 Co 1.76, 4 Rh 1.95
Rh  0.0000  0.5000  0.5000  2 H 1.95

## Properties
Total magnetization (μB per formula unit): 1.20
ΔE to the lowest computed polymorph (meV per atom): 28.1
DOS at the Fermi energy (states/eV per cell): 6.423

# 8
This record from Alexandria via LeMat-Bulk describes crystalline Ag2BRh2 at its relaxed geometry. The functional is PBE.

a b c (Å): 5.5813 5.5813 4.7881
angles (deg): 90.00 90.00 90.00
Last column: nearest neighbours and their distance in Å.
Space group P4/mbm (No. 127)
Inequivalent atoms, fractional coordinates:
Ag  0.1726  0.3274  0.0000  5 Ag 2.72-2.92, 6 Rh 2.73-3.03
B  0.0000  0.0000  0.5000  4 Rh 2.09
Rh  0.1613  0.6613  0.5000  2 B 2.09

## Properties
Calculated formation energy (eV/f.u.): 0.42
Total magnetization (μB per formula unit): 0.00
DOS at the Fermi energy (states/eV per cell): 11.154